Below is a relaxed FeCu2H2 crystal, with properties calculated at the PBE-GGA level.

space-group type = I4/mmm
excess energy over the best structure of this formula in the dataset = 107.8 meV per atom

Cell: 2.684 2.684 6.288 Å, 77.68 77.68 90.00°
Site moments in Bohr magnetons follow the coordinates.
Element x y z (fractional)
H 0.750 0.250 0.500  0.01
H 0.250 0.750 0.500  0.01
Fe 0.000 0.000 0.000  2.81
Cu 0.347 0.347 0.306  0.05
Cu 0.653 0.653 0.694  0.05